# HoLuGaNi

Crystalline HoLuGaNi at its relaxed geometry (PBE-GGA, the Alexandria database).

abc: 4.866 4.866 4.866
angles: 60.00 60.00 60.00
Sites, in units of the cell vectors:
Lu 0.250 0.250 0.250
Ga 0.500 0.500 0.500
Ho 0.750 0.750 0.750
Ni 0.000 0.000 0.000

ΔE_f in eV per atom: -0.4795
Magnetization in μB per cell: 0.000
Calculated total energy in eV/cell: -19.82